a | A relaxed structure of K2Cd3Au4, computed with GGA-PBE.

The structure in CIF format:
```
data_K2Cd3Au4
_cell_length_a 6.305
_cell_length_b 17.404
_cell_length_c 8.083
_cell_angle_alpha 90.00
_cell_angle_beta 90.00
_cell_angle_gamma 90.00
_symmetry_space_group_name_H-M 'C m c e'
_symmetry_Int_Tables_number 64
_symmetry_space_group_name_Hall '-C 2ac 2'
loop_
_atom_site_label
_atom_site_type_symbol
_atom_site_fract_x
_atom_site_fract_y
_atom_site_fract_z
_atom_site_occupancy
K1 K 0.000 0.095 0.100 1
Cd1 Cd 0.000 0.000 0.500 1
Cd2 Cd 0.250 0.243 0.750 1
Au1 Au 0.000 0.170 0.494 1
Au2 Au 0.250 0.076 0.750 1
```



b | A relaxed structure of K2Cd3Au4, computed with GGA-PBE.

The structure in CIF format:
```
data_K2Cd3Au4
_cell_length_a 6.318
_cell_length_b 10.051
_cell_length_c 34.735
_cell_angle_alpha 90.00
_cell_angle_beta 90.00
_cell_angle_gamma 90.00
_symmetry_space_group_name_H-M 'F d d d'
_symmetry_Int_Tables_number 70
loop_
_symmetry_equiv_pos_as_xyz
'x,y,z'
'-x,-y,-z'
'-x+1/4,-y+1/4,z'
'x+1/4,y+1/4,-z'
'x,-y+1/4,-z+1/4'
'-x,y+1/4,z+1/4'
'-x+1/4,y,-z+1/4'
'x+1/4,-y,z+1/4'
'x,y+1/2,z+1/2'
'-x,-y+1/2,-z+1/2'
'-x+1/4,-y+3/4,z+1/2'
'x+1/4,y+3/4,-z+1/2'
'x,-y+3/4,-z+3/4'
'-x,y+3/4,z+3/4'
'-x+1/4,y+1/2,-z+3/4'
'x+1/4,-y+1/2,z+3/4'
'x+1/2,y,z+1/2'
'-x+1/2,-y,-z+1/2'
'-x+3/4,-y+1/4,z+1/2'
'x+3/4,y+1/4,-z+1/2'
'x+1/2,-y+1/4,-z+3/4'
'-x+1/2,y+1/4,z+3/4'
'-x+3/4,y,-z+3/4'
'x+3/4,-y,z+3/4'
'x+1/2,y+1/2,z'
'-x+1/2,-y+1/2,-z'
'-x+3/4,-y+3/4,z'
'x+3/4,y+3/4,-z'
'x+1/2,-y+3/4,-z+1/4'
'-x+1/2,y+3/4,z+1/4'
'-x+3/4,y+1/2,-z+1/4'
'x+3/4,-y+1/2,z+1/4'
loop_
_atom_site_label
_atom_site_type_symbol
_atom_site_fract_x
_atom_site_fract_y
_atom_site_fract_z
_atom_site_occupancy
K1 K 0.125 0.125 0.036 1
Cd1 Cd 0.125 0.125 0.389 1
Cd2 Cd 0.125 0.125 0.625 1
Au1 Au 0.046 0.289 0.561 1
```



a is preferred energetically. Next in line: 156 meV/atom higher.